Entry 1:
The following is a GGA-PBE calculation of crystalline AgPdPb at its relaxed geometry, from OQMD via LeMat-Bulk.

```
AgPdPb
1.0
0.000 3.246 3.246
3.246 0.000 3.246
3.246 3.246 0.000
Ag Pd Pb
1 1 1
direct
0.000 0.000 0.000
0.500 0.500 0.500
0.250 0.250 0.250
```

Entry 2:
The following is a GGA-PBE calculation of crystalline RbMgNb at its relaxed geometry, from OQMD via LeMat-Bulk.

```
RbMgNb
1.0
0.000 3.866 3.866
3.866 0.000 3.866
3.866 3.866 0.000
Rb Mg Nb
1 1 1
direct
0.000 0.000 0.000
0.750 0.750 0.750
0.500 0.500 0.500
```

Entry 3:
The following is a GGA-PBE calculation of crystalline ZrTlO3 at its relaxed geometry, from OQMD via LeMat-Bulk.

```
ZrTlO3
1.0
2.852 1.647 5.358
-2.852 1.647 5.358
0.000 -3.293 5.358
Zr Tl O
2 2 6
direct
0.153 0.153 0.153
0.847 0.847 0.847
0.367 0.367 0.367
0.633 0.633 0.633
0.033 0.805 0.442
0.195 0.558 0.967
0.442 0.033 0.805
0.558 0.967 0.195
0.805 0.442 0.033
0.967 0.195 0.558
```

Entry 4:
The following is a GGA-PBE calculation of crystalline DyTmSe2Br2 at its relaxed geometry, from OQMD via LeMat-Bulk.

```
DyTmSe2Br2
1.0
4.068 0.000 0.000
0.000 5.595 0.000
0.000 0.000 8.524
Dy Tm Se Br
1 1 2 2
direct
0.000 0.000 0.000
0.500 0.500 0.728
0.000 0.500 0.960
0.500 0.000 0.762
0.000 0.500 0.505
0.500 0.000 0.229
```

Entry 5:
The following is a GGA-PBE calculation of crystalline BaZn2Au2 at its relaxed geometry, from OQMD via LeMat-Bulk.

```
BaZn2Au2
1.0
-2.242 2.242 5.858
2.242 -2.242 5.858
2.242 2.242 -5.858
Ba Zn Au
1 2 2
direct
0.000 0.000 0.000
0.250 0.750 0.500
0.750 0.250 0.500
0.374 0.374 0.000
0.626 0.626 0.000
```

Entry 6:
The following is a GGA-PBE calculation of crystalline HoAuSeO at its relaxed geometry, from OQMD via LeMat-Bulk.

```
HoAuSeO
1.0
3.923 0.000 0.000
0.000 3.923 0.000
0.000 0.000 9.485
Ho Au Se O
2 2 2 2
direct
0.250 0.250 0.116
0.750 0.750 0.884
0.250 0.750 0.500
0.750 0.250 0.500
0.250 0.250 0.719
0.750 0.750 0.281
0.250 0.750 0.000
0.750 0.250 0.000
```

Entry 7:
The following is a GGA-PBE calculation of crystalline ScFeCuSi at its relaxed geometry, from OQMD via LeMat-Bulk.

```
ScFeCuSi
1.0
0.000 2.981 2.981
2.981 0.000 2.981
2.981 2.981 0.000
Sc Fe Cu Si
1 1 1 1
direct
0.000 0.000 0.000
0.750 0.750 0.750
0.250 0.250 0.250
0.500 0.500 0.500
```

Entry 8:
The following is a GGA-PBE calculation of crystalline NbAl2 at its relaxed geometry, from OQMD via LeMat-Bulk.

```
NbAl2
1.0
7.244 0.000 0.000
0.000 7.244 0.000
0.000 0.000 2.642
Nb Al
2 4
direct
0.000 0.000 0.000
0.500 0.500 0.500
0.239 0.239 0.500
0.261 0.739 0.000
0.739 0.261 0.000
0.761 0.761 0.500
```

| no. | energy (eV per formula unit) |
| --- | --- |
| 1 | -11.25 |
| 2 | -7.78 |
| 3 | -36.35 |
| 4 | -30.69 |
| 5 | -13.51 |
| 6 | -23.59 |
| 7 | -24.81 |
| 8 | -16.31 |